Record 1
This record from Alexandria via LeMat-Bulk describes crystalline YH3Au at its relaxed geometry. The functional is PBE-GGA.

Geometry as extended XYZ:
```
5
Lattice="-2.6963 0.3837 2.6709 -2.3595 -2.1671 -2.0706 1.3091 -3.1157 1.7692" Properties=species:S:1:pos:R:3 pbc="T T T"
H 0.6546 -1.5578 0.8846
Y -1.8734 -2.4496 1.1847
H -1.1797 -1.0836 -1.0353
Au 0.0000 0.0000 0.0000
H -1.3482 0.1918 1.3354
```

Theoretical density: 8643 kg/m³

---

Record 2
This record from Alexandria via LeMat-Bulk describes crystalline Ba6Au2IN at its relaxed geometry. The functional is PBE-GGA.

Geometry as extended XYZ:
```
20
Lattice="7.8173 0.0000 -0.1500 0.0000 8.6600 0.0000 -0.1547 0.0000 11.8546" Properties=species:S:1:pos:R:3 pbc="T T T"
Ba 5.4055 2.9942 10.8732
Ba 6.6873 4.7428 2.4670
N 3.8313 0.0000 5.8523
Au 4.1665 5.2305 8.6633
Ba 4.9488 2.4630 6.6512
Au 7.3274 0.9005 8.8936
N 0.0000 4.3300 0.0000
Ba 6.5451 6.7930 10.9056
Ba 6.0884 7.3242 6.6837
Ba 2.2571 5.6657 0.8314
I -0.0774 4.3300 5.9273
Ba 1.5742 1.3357 5.0209
Ba 0.9753 3.9171 9.2376
Ba 2.7013 8.2471 8.4693
Au 0.3352 7.7594 2.8110
Ba 4.9613 0.4128 3.2352
Au 3.4961 3.4294 3.0413
I 3.9087 0.0000 -0.0750
Ba 2.7138 6.1970 5.0534
Ba 1.1175 1.8670 0.7989
```

Theoretical density: 5624 kg/m³
Formation energy (no corrections): -0.633 eV/atom

---

Record 3
This record from Alexandria via LeMat-Bulk describes crystalline CsPrPuI6 at its relaxed geometry. The functional is PBE-GGA.

Geometry as extended XYZ:
```
18
Lattice="11.7257 0.0000 0.0000 0.0000 11.4121 0.0000 -5.8629 -5.7060 8.2779" Properties=species:S:1:pos:R:3 pbc="T T T"
Cs 0.0000 2.8530 3.1043
I 3.4962 -0.5162 2.0974
I 5.8629 -2.8530 5.3343
Pr 2.9314 -2.8530 4.1390
I 0.0000 8.5590 2.9436
I -2.3667 -0.5162 6.1805
I 8.2295 -0.5162 2.0974
I 0.0000 2.8530 6.9183
Pr -2.9314 -2.8530 4.1390
Pu 5.8629 0.0000 0.0000
I 5.8629 2.8530 1.3596
Pu 5.8629 5.7060 0.0000
I -2.3667 6.2222 6.1805
Cs 5.8629 2.8530 5.1736
I 8.2295 6.2222 2.0974
I 2.3667 6.2222 6.1805
I 2.3667 -0.5162 6.1805
I 3.4962 6.2222 2.0974
```

Theoretical density: 3835 kg/m³
Formation energy (no corrections): -1.247 eV/atom

---

Record 4
This record from Alexandria via LeMat-Bulk describes crystalline ThSc3Co at its relaxed geometry. The functional is PBE-GGA.

Geometry as extended XYZ:
```
5
Lattice="4.9290 0.0000 0.0000 0.0000 4.9290 0.0000 0.0000 0.0000 4.9290" Properties=species:S:1:pos:R:3 pbc="T T T"
Sc 0.0000 0.0000 2.4645
Co 0.0000 0.0000 0.0000
Sc 2.4645 0.0000 0.0000
Sc 0.0000 2.4645 0.0000
Th 2.4645 2.4645 2.4645
```

Formation enthalpy at 0 K: -0.045 eV/atom
Theoretical density: 5905 kg/m³

---

Record 5
This record from Alexandria via LeMat-Bulk describes crystalline ZrIn3 at its relaxed geometry. The functional is PBE-GGA.

Geometry as extended XYZ:
```
4
Lattice="5.5716 -0.0092 0.0000 -2.1316 5.1477 0.0000 0.0000 0.0000 3.2717" Properties=species:S:1:pos:R:3 pbc="T T T"
Zr 0.0000 0.0000 0.0000
In 1.7200 2.5693 0.0000
In 2.7858 -0.0046 1.6358
In -1.0658 2.5739 1.6358
```

Formation enthalpy at 0 K: -0.145 eV/atom
Theoretical density: 7715 kg/m³

---

Record 6
This record from Alexandria via LeMat-Bulk describes crystalline SrP2AuN at its relaxed geometry. The functional is PBE-GGA.

Geometry as extended XYZ:
```
5
Lattice="-1.9448 -2.4536 3.4114 -2.6708 -3.9063 -4.3321 3.7339 -2.7334 0.1627" Properties=species:S:1:pos:R:3 pbc="T T T"
N -0.4408 -4.5466 -0.3790
P -0.9724 -1.2268 1.7057
P 1.8670 -1.3667 0.0813
Sr -1.3354 -1.9531 -2.1660
Au 0.0000 0.0000 0.0000
```

Theoretical density: 4353 kg/m³
Formation energy (no corrections): 1.079 eV/atom

---

Record 7
This record from Alexandria via LeMat-Bulk describes crystalline Nb2GaBrN at its relaxed geometry. The functional is PBE-GGA.

Geometry as extended XYZ:
```
5
Lattice="-3.5614 -0.0320 2.5025 0.5851 -4.2953 0.7777 2.4350 0.9614 3.4777" Properties=species:S:1:pos:R:3 pbc="T T T"
Br -0.2707 -1.6830 3.3789
Nb 1.2175 0.4807 1.7388
Ga 0.2926 -2.1477 0.3889
N 0.0000 0.0000 0.0000
Nb -1.7807 -0.0160 1.2512
```

Theoretical density: 6954 kg/m³
Formation energy (no corrections): 0.348 eV/atom

---

Record 8
This record from Alexandria via LeMat-Bulk describes crystalline Dy3PuCo8 at its relaxed geometry. The functional is PBE-GGA.

Geometry as extended XYZ:
```
12
Lattice="4.9806 0.0000 0.0000 2.4903 4.3133 0.0000 2.4903 1.4378 8.3996" Properties=species:S:1:pos:R:3 pbc="T T T"
Co 3.7457 2.1626 1.5955
Pu 7.4708 4.3133 3.0994
Co 2.4903 1.4378 3.6353
Co 6.2294 5.0300 5.7794
Co 4.9806 4.3014 1.5955
Dy 4.9806 2.8755 4.2214
Dy 7.4708 4.3133 0.0143
Co 7.4708 4.3133 7.8556
Co 7.4708 2.8798 5.7794
Dy 4.9805 2.8755 7.3470
Co 8.7123 5.0300 5.7794
Co 6.2154 2.1626 1.5955
```

Formation enthalpy at 0 K: -0.164 eV/atom
Theoretical density: 11070 kg/m³

---

Record 9
This record from Alexandria via LeMat-Bulk describes crystalline Sm2Cu2P3 at its relaxed geometry. The functional is PBE-GGA.

Geometry as extended XYZ:
```
14
Lattice="3.9131 0.0000 0.8674 1.8108 7.3671 1.0913 0.0221 -0.0510 9.1609" Properties=species:S:1:pos:R:3 pbc="T T T"
Cu 3.1674 3.4790 4.2318
Sm 3.6900 5.3695 1.8741
Cu 5.1384 5.6982 4.6003
Cu 0.6076 1.6179 6.5193
P 1.5050 3.6022 2.4709
P 2.8306 1.7280 5.7510
P 3.6730 0.1921 1.9508
Sm 2.0560 1.9466 9.2455
Sm 1.2767 0.9520 3.5009
P 2.9154 5.5881 5.3686
P 2.0730 7.1240 9.1689
Sm 4.4693 6.3641 7.6187
P 4.2410 3.7139 8.6487
Cu 2.5786 3.8371 6.8878
```

Formation enthalpy at 0 K: -0.945 eV/atom
Theoretical density: 6548 kg/m³

---

Record 10
This record from Alexandria via LeMat-Bulk describes crystalline La5Pm4Ho at its relaxed geometry. The functional is PBE-GGA.

Geometry as extended XYZ:
```
10
Lattice="-6.0010 -0.8815 -3.2508 3.3707 0.7217 -5.6651 -1.4545 -8.2513 1.3363" Properties=species:S:1:pos:R:3 pbc="T T T"
La -3.1760 -4.7728 -5.0629
Pm -2.8852 -5.8611 -0.3567
La -5.6985 -6.4164 -2.7518
Ho -3.0005 -0.4408 -1.6254
Pm -1.1996 -2.5500 -7.2228
La -0.9088 -3.6383 -2.5166
Pm 0.9808 -6.8782 -2.9185
La -1.3151 -0.0799 -4.4579
Pm -5.0656 -1.5329 -4.6610
La 1.6137 -1.9947 -4.8277
```

Formation enthalpy at 0 K: 0.122 eV/atom
Theoretical density: 6669 kg/m³
E above lowest polymorph: 102 meV/atom

---

Record 11
This record from Alexandria via LeMat-Bulk describes crystalline Dy4Al12Fe at its relaxed geometry. The functional is PBE-GGA.

Geometry as extended XYZ:
```
17
Lattice="7.0232 0.0000 -2.4831 -3.5116 6.0823 -2.4831 0.0000 0.0000 7.4492" Properties=species:S:1:pos:R:3 pbc="T T T"
Al 0.8779 4.5617 -1.2415
Dy 0.0000 0.0000 3.7246
Al -0.8779 4.5617 1.2415
Al 4.3895 1.5206 1.2415
Al 3.5116 3.0411 -1.2415
Al 2.5295 4.3812 -3.5772
Al 1.9642 0.0000 1.3889
Al 0.9821 1.7011 -1.3889
Dy -1.7558 3.0411 -1.2415
Fe 0.0000 0.0000 0.0000
Al -2.5295 4.3812 3.5772
Dy 3.5116 0.0000 -1.2415
Al 2.6337 1.5206 3.7246
Al 0.0000 3.0411 3.7246
Dy 1.7558 3.0411 1.2415
Al -0.9821 1.7011 1.3889
Al 5.0590 0.0000 3.5772
```

Formation enthalpy at 0 K: -0.442 eV/atom
Theoretical density: 5373 kg/m³

---

Record 12
This record from Alexandria via LeMat-Bulk describes crystalline LaTbPt at its relaxed geometry. The functional is PBE-GGA.

Geometry as extended XYZ:
```
12
Lattice="7.4007 0.0000 0.0000 0.0000 6.5335 -0.2271 0.0000 2.2816 7.1349" Properties=species:S:1:pos:R:3 pbc="T T T"
Pt 5.1176 4.8826 3.6910
La 6.2126 6.5089 5.8599
Pt 5.9835 0.4751 0.2371
Pt 2.2831 3.9325 3.2168
Tb 3.6486 5.3372 1.1099
La 2.5122 6.7136 4.5019
Tb 3.7521 3.4778 5.7979
La 1.1882 2.3061 1.0479
Tb 0.0518 3.2113 4.7909
La 4.8885 2.1014 2.4060
Pt 1.4172 8.3400 6.6708
Tb 7.3490 5.6037 2.1169
```

Formation enthalpy at 0 K: -0.832 eV/atom
Theoretical density: 9386 kg/m³
E above lowest polymorph: 25 meV/atom

---

Number 1: total DFT energy (no corrections) -20.3 eV per cell, total magnetic moment 0.6 Bohr magnetons per cell, density of states at the Fermi level 0.3641 states/eV per atom. Number 2: total DFT energy (no corrections) -68.6 eV per cell, total magnetic moment 0.0 Bohr magnetons per cell, density of states at the Fermi level 0.8857 states/eV per atom. Number 3: total DFT energy (no corrections) -81.0 eV per cell, total magnetic moment 12.1 Bohr magnetons per cell, density of states at the Fermi level 2.0396 states/eV per atom. Number 4: total DFT energy (no corrections) -33.7 eV per cell, total magnetic moment 0.0 Bohr magnetons per cell, density of states at the Fermi level 1.4527 states/eV per atom. Number 5: total DFT energy (no corrections) -17.3 eV per cell, total magnetic moment 0.0 Bohr magnetons per cell, density of states at the Fermi level 0.4325 states/eV per atom. Number 6: total DFT energy (no corrections) -18.7 eV per cell, total magnetic moment 1.0 Bohr magnetons per cell, density of states at the Fermi level 1.1152 states/eV per atom. Number 7: total DFT energy (no corrections) -31.4 eV per cell, total magnetic moment 0.0 Bohr magnetons per cell, density of states at the Fermi level 0.7079 states/eV per atom. Number 8: total DFT energy (no corrections) -87.0 eV per cell, total magnetic moment 4.2 Bohr magnetons per cell, density of states at the Fermi level 1.4616 states/eV per atom. Number 9: total DFT energy (no corrections) -81.0 eV per cell, total magnetic moment 0.0 Bohr magnetons per cell, density of states at the Fermi level 0.0707 states/eV per atom. Number 10: total DFT energy (no corrections) -47.0 eV per cell, total magnetic moment 0.0 Bohr magnetons per cell, density of states at the Fermi level 1.5650 states/eV per atom. Number 11: total DFT energy (no corrections) -79.3 eV per cell, total magnetic moment 1.4 Bohr magnetons per cell, density of states at the Fermi level 0.5029 states/eV per atom. Number 12: total DFT energy (no corrections) -72.4 eV per cell, total magnetic moment 0.0 Bohr magnetons per cell, density of states at the Fermi level 0.9100 states/eV per atom.